## LiAc3Te4 (PBE)

Data for crystalline LiAc3Te4 at its relaxed geometry.

Summary:
The calculation puts the raw total energy at -73.45 eV for the cell shown. As for the offset from the most stable computed form: 1.51 eV/f.u. The symmetry is No. 31.

Geometry as extended XYZ:
```
16
Lattice="10.725 0.000 0.000 0.000 9.545 0.000 0.000 0.000 6.653" Properties=species:S:1:pos:R:3 pbc="T T T"
Li 0.000 1.174 0.000
Li 5.362 8.371 3.326
Ac 0.000 7.355 3.789
Ac 2.390 3.251 3.784
Ac 2.972 6.294 0.458
Ac 5.362 2.190 0.463
Ac 7.752 6.294 0.458
Ac 8.335 3.251 3.784
Te 0.000 1.052 3.798
Te 0.000 7.757 0.463
Te 2.176 3.089 0.458
Te 3.187 6.456 3.784
Te 5.362 1.788 3.790
Te 5.362 8.493 0.471
Te 7.538 6.456 3.784
Te 8.549 3.089 0.458
```

***

## Li3AcTe3 (PBE)

Data for crystalline Li3AcTe3 at its relaxed geometry.

Summary:
The calculation puts the raw total energy at -55.57 eV for the cell shown. The symmetry is No. 148.

Geometry as extended XYZ:
```
14
Lattice="4.070 2.350 7.679 -4.070 2.350 7.679 0.000 -4.700 7.679" Properties=species:S:1:pos:R:3 pbc="T T T"
Li -1.258 -2.442 10.530
Li -2.744 -0.131 12.507
Li -1.485 2.310 10.530
Li 1.485 -2.310 12.507
Li 2.744 0.131 10.530
Li 1.258 2.442 12.507
Ac 0.000 0.000 7.694
Ac 0.000 0.000 15.343
Te -2.668 -0.118 9.676
Te -1.232 -2.369 13.360
Te 1.436 -2.251 9.676
Te -1.436 2.251 13.360
Te 1.232 2.369 9.676
Te 2.668 0.118 13.360
```

***

## LiAc5Te6 (PBE)

Data for crystalline LiAc5Te6 at its relaxed geometry.

Summary:
The calculation puts the raw total energy at -58.69 eV for the cell shown. The symmetry is No. 12.

Geometry as extended XYZ:
```
12
Lattice="4.055 -7.041 0.000 4.055 7.041 0.000 -2.739 0.000 7.643" Properties=species:S:1:pos:R:3 pbc="T T T"
Li 0.000 0.000 0.000
Ac 2.685 4.620 3.822
Ac 4.055 2.315 0.000
Ac 2.685 0.000 3.822
Ac 4.055 -2.315 0.000
Ac 2.685 -4.620 3.822
Te 1.267 2.231 1.817
Te -0.165 0.000 5.778
Te 1.267 -2.231 1.817
Te 4.104 2.231 5.827
Te 5.536 0.000 1.865
Te 4.104 -2.231 5.827
```

***

## LiAc2Te (PBE)

Data for crystalline LiAc2Te at its relaxed geometry.

Summary:
The calculation puts the raw total energy at -14.54 eV for the cell shown. As for the offset from the most stable computed form: 1.11 eV/f.u. The symmetry is No. 166.

Geometry as extended XYZ:
```
4
Lattice="2.078 1.200 11.840 -2.078 1.200 11.840 0.000 -2.399 11.840" Properties=species:S:1:pos:R:3 pbc="T T T"
Li 0.000 0.000 0.000
Ac 0.000 0.000 3.646
Ac 0.000 0.000 31.876
Te 0.000 0.000 17.761
```

***

## LiAcTmTe3 (PBE)

Data for crystalline LiAcTmTe3 at its relaxed geometry.

Summary:
The calculation puts the raw total energy at -55.59 eV for the cell shown. The symmetry is No. 11.

Geometry as extended XYZ:
```
12
Lattice="9.100 0.000 0.000 0.000 4.388 0.000 -2.486 0.000 9.398" Properties=species:S:1:pos:R:3 pbc="T T T"
Li 0.570 1.097 0.826
Li 6.043 3.291 8.572
Ac -0.068 1.097 6.916
Ac 6.682 3.291 2.482
Tm 2.148 3.291 3.249
Tm 4.465 1.097 6.149
Te -0.006 1.097 3.499
Te 2.064 3.291 0.131
Te 2.372 3.291 6.317
Te 4.242 1.097 3.080
Te 4.549 1.097 9.267
Te 6.619 3.291 5.899
```

***

## Li3AcTm2Te6 (PBE)

Data for crystalline Li3AcTm2Te6 at its relaxed geometry.

Summary:
The calculation puts the raw total energy at -53.08 eV for the cell shown. The symmetry is No. 12.

Geometry as extended XYZ:
```
12
Lattice="3.842 -6.659 0.000 3.842 6.659 0.000 -2.572 0.000 7.076" Properties=species:S:1:pos:R:3 pbc="T T T"
Li 0.000 0.000 0.000
Li 3.842 2.199 0.000
Li 3.842 -2.199 0.000
Ac 2.556 0.000 3.538
Tm 2.556 4.436 3.538
Tm 2.556 -4.436 3.538
Te 1.192 2.366 1.722
Te -0.175 0.000 5.375
Te 1.192 -2.366 1.722
Te 3.920 2.366 5.354
Te 5.287 0.000 1.701
Te 3.920 -2.366 5.354
```

***

Repeat the fourth record exactly.
## LiAc2Te (PBE)

Data for crystalline LiAc2Te at its relaxed geometry.

Summary:
The calculation puts the raw total energy at -14.54 eV for the cell shown. As for the offset from the most stable computed form: 1.11 eV/f.u. The symmetry is No. 166.

Geometry as extended XYZ:
```
4
Lattice="2.078 1.200 11.840 -2.078 1.200 11.840 0.000 -2.399 11.840" Properties=species:S:1:pos:R:3 pbc="T T T"
Li 0.000 0.000 0.000
Ac 0.000 0.000 3.646
Ac 0.000 0.000 31.876
Te 0.000 0.000 17.761
```

***

Which of these has the highest raw total energy? LiAc2Te